[1]
The following is a PBE-GGA calculation of crystalline LiNdPaTc at its relaxed geometry, from Alexandria.

The structure belongs to space group F-43m (No. 216); the cell edges are 7.041, 7.041 and 7.041 Å and the angles 90.00°, 90.00° and 90.00°. The distinct sites, in fractional coordinates, are Li at (0.000, 0.000, 0.000), Nd at (0.250, 0.250, 0.250), Pa at (0.250, 0.250, 0.750) and Tc at (0.000, 0.000, 0.500).

For the formation enthalpy at 0 K, the calculation gives 0.17 eV/atom. As for the density of states at the Fermi level: 6.98 states/eV/f.u. As for the total magnetic moment: 0.0 μB/cell. The calculated total energy is -103.42 eV per cell.



[2]
The following is a PBE-GGA calculation of crystalline LiNd2PaTe5 at its relaxed geometry, from Alexandria.

The structure belongs to space group Cmc2_1 (No. 36); the cell edges are 4.362, 18.785 and 13.414 Å and the angles 90.00°, 90.00° and 90.00°. The distinct sites, in fractional coordinates, are Li at (0.000, 0.057, 0.000), Nd at (0.000, 0.371, 0.845), Nd at (0.000, 0.393, 0.230), Pa at (0.000, 0.299, 0.553), Te at (0.000, 0.004, 0.323), Te at (0.000, 0.135, 0.544), Te at (0.000, 0.187, 0.889), Te at (0.000, 0.216, 0.215) and Te at (0.000, 0.451, 0.612).

For the formation energy from raw total energies, the calculation gives -1.122 eV per atom. As for the density of states at the Fermi level: 6.33 states/eV/f.u. As for the total magnetic moment: 5.4 μB/cell. The calculated total energy is -187.01 eV per cell.



[3]
The following is a PBE-GGA calculation of crystalline LiNd2Pb2 at its relaxed geometry, from Alexandria.

The structure belongs to space group Ibam (No. 72); the cell edges are 6.748, 13.316 and 6.573 Å and the angles 90.00°, 90.00° and 90.00°. The distinct sites, in fractional coordinates, are Li at (0.000, 0.000, 0.250), Nd at (0.215, 0.363, 0.000) and Pb at (0.234, 0.118, 0.000).

For the formation enthalpy at 0 K, the calculation gives -0.44 eV/atom. As for the density of states at the Fermi level: 3.10 states/eV/f.u. As for the total magnetic moment: 0.0 μB/cell. The calculated total energy is -84.27 eV per cell.



[4]
The following is a PBE-GGA calculation of crystalline Li2NdPb4 at its relaxed geometry, from Alexandria.

The structure belongs to space group I4/mmm (No. 139); the cell edges are 6.025, 6.025 and 12.583 Å and the angles 90.00°, 90.00° and 90.00°. The distinct sites, in fractional coordinates, are Li at (0.000, 0.000, 0.136), Nd at (0.000, 0.000, 0.500), Pb at (0.000, 0.500, 0.000) and Pb at (0.000, 0.500, 0.250).

For the formation enthalpy at 0 K, the calculation gives 0.05 eV/atom. As for the density of states at the Fermi level: 6.19 states/eV/f.u. As for the total magnetic moment: 0.0 μB/cell. The calculated total energy is -46.18 eV per cell.



[5]
The following is a PBE-GGA calculation of crystalline Li4NdPb2 at its relaxed geometry, from Alexandria.

The structure belongs to space group P4_2/mnm (No. 136); the cell edges are 8.167, 8.167 and 4.742 Å and the angles 90.00°, 90.00° and 90.00°. The distinct sites, in fractional coordinates, are Li at (0.106, 0.354, 0.000), Nd at (0.000, 0.000, 0.500) and Pb at (0.210, 0.790, 0.000).

For the formation enthalpy at 0 K, the calculation gives -0.38 eV/atom. As for the density of states at the Fermi level: 2.69 states/eV/f.u. As for the total magnetic moment: 0.0 μB/cell. The calculated total energy is -45.06 eV per cell.



[6]
The following is a PBE-GGA calculation of crystalline LiNd2Pb at its relaxed geometry, from Alexandria.

The structure belongs to space group P4/mmm (No. 123); the cell edges are 5.047, 5.047 and 4.493 Å and the angles 90.00°, 90.00° and 90.00°. The distinct sites, in fractional coordinates, are Li at (0.000, 0.000, 0.000), Nd at (0.000, 0.500, 0.500) and Pb at (0.500, 0.500, 0.000).

For the formation enthalpy at 0 K, the calculation gives -0.32 eV/atom. As for the density of states at the Fermi level: 3.71 states/eV/f.u. As for the total magnetic moment: 0.0 μB/cell. The calculated total energy is -16.46 eV per cell.



Q: Which value of total magnetic moment does entry 2 give?
A: 5.4 μB/cell